The following is a PBE calculation of a relaxed structure of NaGaAg, from Alexandria.

Values from the calculation:
V, Å³/atom: 20.5

a b c (Å): 5.565 5.565 5.565
angles (deg): 91.15 121.89 116.85
Atoms (fractional coordinates):
Na: 0.250 0.124 0.874
Na: 0.750 0.876 0.126
Ga: 0.500 0.500 0.500
Ga: 0.000 0.500 0.000
Ag: 0.000 0.500 0.500
Ag: 0.500 0.000 0.500

---

The following is a PBE calculation of a relaxed structure of Na3Ga6Ag5, from Alexandria.

Values from the calculation:
V, Å³/atom: 20.5

a b c (Å): 4.642 8.313 8.313
angles (deg): 73.02 73.79 73.79
Atoms (fractional coordinates):
Na: 0.000 0.000 0.000
Na: 0.713 0.287 0.287
Na: 0.287 0.713 0.713
Ga: 0.500 0.669 0.331
Ga: 0.500 0.331 0.669
Ga: 0.869 0.411 0.851
Ga: 0.131 0.589 0.149
Ga: 0.869 0.851 0.411
Ga: 0.131 0.149 0.589
Ag: 0.660 0.696 0.985
Ag: 0.340 0.304 0.015
Ag: 0.660 0.985 0.696
Ag: 0.340 0.015 0.304
Ag: 0.000 0.500 0.500

---

The following is a PBE calculation of a relaxed structure of Na2GaAg, from Alexandria.

Values from the calculation:
V, Å³/atom: 23.3

a b c (Å): 5.282 6.023 6.023
angles (deg): 103.05 90.00 90.00
Atoms (fractional coordinates):
Na: 0.750 0.029 0.663
Na: 0.250 0.971 0.337
Na: 0.250 0.337 0.971
Na: 0.750 0.663 0.029
Ga: 0.000 0.500 0.500
Ga: 0.500 0.500 0.500
Ag: 0.750 0.181 0.181
Ag: 0.250 0.819 0.819

---

The following is a PBE calculation of a relaxed structure of Na2GaAg3, from Alexandria.

Values from the calculation:
Relative energy among the computed polymorphs, meV per atom: 42
V, Å³/atom: 22.3

a b c (Å): 5.412 5.776 8.564
angles (deg): 90.00 90.00 90.00
Atoms (fractional coordinates):
Na: 0.250 0.500 0.122
Na: 0.250 0.000 0.367
Na: 0.750 0.000 0.633
Na: 0.750 0.500 0.878
Ga: 0.750 0.500 0.490
Ga: 0.250 0.500 0.510
Ag: 0.000 0.000 0.000
Ag: 0.500 0.000 0.000
Ag: 0.750 0.246 0.239
Ag: 0.750 0.754 0.239
Ag: 0.250 0.246 0.761
Ag: 0.250 0.754 0.761

---

The following is a PBE calculation of a relaxed structure of Na2Ga3Ag17, from Alexandria.

Values from the calculation:
V, Å³/atom: 20.9

a b c (Å): 7.768 7.768 7.768
angles (deg): 83.35 83.35 83.35
Atoms (fractional coordinates):
Na: 0.379 0.379 0.379
Na: 0.621 0.621 0.621
Ga: 0.000 0.500 0.500
Ga: 0.500 0.500 0.000
Ga: 0.500 0.000 0.500
Ag: 0.500 0.000 0.000
Ag: 0.000 0.000 0.500
Ag: 0.000 0.500 0.000
Ag: 0.000 0.739 0.261
Ag: 0.739 0.261 0.000
Ag: 0.261 0.000 0.739
Ag: 0.261 0.739 0.000
Ag: 0.739 0.000 0.261
Ag: 0.000 0.261 0.739
Ag: 0.174 0.670 0.670
Ag: 0.670 0.670 0.174
Ag: 0.670 0.174 0.670
Ag: 0.826 0.330 0.330
Ag: 0.330 0.330 0.826
Ag: 0.330 0.826 0.330
Ag: 0.100 0.100 0.100
Ag: 0.900 0.900 0.900

---

The following is a PBE calculation of a relaxed structure of Na2Ga6Ag3, from Alexandria.

Values from the calculation:
V, Å³/atom: 22.4

a b c (Å): 4.154 7.722 7.722
angles (deg): 95.03 90.00 90.00
Atoms (fractional coordinates):
Na: 0.000 0.284 0.716
Na: 0.000 0.716 0.284
Ga: 0.500 0.383 0.383
Ga: 0.500 0.617 0.617
Ga: 0.500 0.042 0.349
Ga: 0.500 0.958 0.651
Ga: 0.500 0.349 0.042
Ga: 0.500 0.651 0.958
Ag: 0.000 0.208 0.208
Ag: 0.000 0.792 0.792
Ag: 0.500 0.000 0.000

---

The following is a PBE calculation of a relaxed structure of NaGa2Ag2, from Alexandria.

Values from the calculation:
Relative energy among the computed polymorphs, meV per atom: 24
V, Å³/atom: 19.5

a b c (Å): 8.097 8.097 2.969
angles (deg): 90.00 90.00 90.00
Atoms (fractional coordinates):
Na: 0.000 0.000 0.000
Na: 0.500 0.500 0.000
Ga: 0.156 0.656 0.500
Ga: 0.656 0.844 0.500
Ga: 0.844 0.344 0.500
Ga: 0.344 0.156 0.500
Ag: 0.359 0.859 0.000
Ag: 0.859 0.641 0.000
Ag: 0.641 0.141 0.000
Ag: 0.141 0.359 0.000

---

The following is a PBE calculation of a relaxed structure of NaGa3Ag2, from Alexandria.

Values from the calculation:
V, Å³/atom: 20.5

a b c (Å): 5.646 6.617 6.617
angles (deg): 95.51 90.00 90.00
Atoms (fractional coordinates):
Na: 0.250 0.337 0.337
Na: 0.750 0.663 0.663
Ga: 0.750 0.432 0.113
Ga: 0.750 0.113 0.432
Ga: 0.250 0.568 0.887
Ga: 0.750 0.041 0.041
Ga: 0.250 0.959 0.959
Ga: 0.250 0.887 0.568
Ag: 0.500 0.761 0.239
Ag: 0.000 0.761 0.239
Ag: 0.000 0.239 0.761
Ag: 0.500 0.239 0.761

---

The following is a PBE calculation of a relaxed structure of NaGa4Ag, from Alexandria.

Values from the calculation:
Relative energy among the computed polymorphs, meV per atom: 0
V, Å³/atom: 20.4

a b c (Å): 6.250 8.079 6.250
angles (deg): 70.92 56.44 70.92
Atoms (fractional coordinates):
Na: 0.204 0.157 0.204
Na: 0.796 0.843 0.796
Ga: 0.186 0.764 0.186
Ga: 0.868 0.531 0.364
Ga: 0.738 0.000 0.262
Ga: 0.636 0.469 0.132
Ga: 0.814 0.236 0.814
Ga: 0.132 0.469 0.636
Ga: 0.262 0.000 0.738
Ga: 0.364 0.531 0.868
Ag: 0.423 0.769 0.423
Ag: 0.577 0.231 0.577

---

The following is a PBE calculation of a relaxed structure of NaGa2Ag2, from Alexandria.

Values from the calculation:
Relative energy among the computed polymorphs, meV per atom: 23
V, Å³/atom: 19.6

a b c (Å): 4.603 5.147 5.761
angles (deg): 124.83 113.55 90.00
Atoms (fractional coordinates):
Na: 0.000 0.000 0.000
Ga: 0.718 0.098 0.435
Ga: 0.282 0.902 0.565
Ag: 0.367 0.514 0.734
Ag: 0.633 0.486 0.266

---

The following is a PBE calculation of a relaxed structure of NaGa3Ag3, from Alexandria.

Values from the calculation:
Relative energy among the computed polymorphs, meV per atom: 340
V, Å³/atom: 35.2

a b c (Å): 8.864 8.864 8.864
angles (deg): 60.00 60.00 60.00
Atoms (fractional coordinates):
Na: 0.250 0.250 0.250
Na: 0.750 0.750 0.750
Ga: 0.148 0.852 0.852
Ga: 0.148 0.852 0.148
Ga: 0.148 0.148 0.852
Ga: 0.852 0.148 0.852
Ga: 0.852 0.148 0.148
Ga: 0.852 0.852 0.148
Ag: 0.343 0.657 0.343
Ag: 0.343 0.657 0.657
Ag: 0.343 0.343 0.657
Ag: 0.657 0.343 0.657
Ag: 0.657 0.343 0.343
Ag: 0.657 0.657 0.343

---

The following is a PBE calculation of a relaxed structure of NaGa5Ag, from Alexandria.

Values from the calculation:
V, Å³/atom: 21.3

a b c (Å): 3.983 3.983 9.392
angles (deg): 90.00 90.00 90.00
Atoms (fractional coordinates):
Na: 0.000 0.000 0.500
Ga: 0.500 0.500 0.000
Ga: 0.000 0.500 0.232
Ga: 0.500 0.000 0.232
Ga: 0.000 0.500 0.768
Ga: 0.500 0.000 0.768
Ag: 0.000 0.000 0.000

---

Here are the calculated DFT formation energy numbers, same order: -0.126; -0.057; -0.049; -0.042; 0.125; 0.022; -0.051; -0.049; -0.066; -0.051; 0.344; -0.020 (eV per atom).
Here are the calculated density of states at the Fermi level numbers, same order: 0.29; 0.25; 0.45; 0.23; 0.29; 0.30; 0.34; 0.18; 0.31; 0.27; 0.54; 0.24 (states/eV/atom).